# 1
# ZrFeAg2

A geometry-optimized ZrFeAg2 structure (GGA-PBE, Alexandria via LeMat-Bulk).

```
data_ZrFeAg2
_space_group_name_H-M_alt 'P 1'
_space_group_IT_number 1
_space_group_name_Hall 'P 1'
_cell_length_a 2.8821
_cell_length_b 2.8821
_cell_length_c 8.4172
_cell_angle_alpha 90.00
_cell_angle_beta 90.00
_cell_angle_gamma 90.00
loop_
_atom_site_label
_atom_site_type_symbol
_atom_site_fract_x
_atom_site_fract_y
_atom_site_fract_z
Ag1 Ag 0.0000 0.0000 0.0255
Ag2 Ag 0.0000 0.0000 0.4745
Fe1 Fe 0.5000 0.5000 0.2500
Zr1 Zr 0.5000 0.5000 0.7500
```

Values from the calculation:
- energy relative to the lowest polymorph listed for this composition (eV/atom) = 0.1255
- energy of formation from the pure elements (kcal/mol of atoms) = 5.44
- final energy (eV/f.u.) = -21.770


# 2
# Ga2Ag5

A geometry-optimized Ga2Ag5 structure (GGA-PBE, Alexandria via LeMat-Bulk).

```
data_Ga2Ag5
_space_group_name_H-M_alt 'P 1'
_space_group_IT_number 1
_space_group_name_Hall 'P 1'
_cell_length_a 5.1417
_cell_length_b 7.3961
_cell_length_c 6.9688
_cell_angle_alpha 93.79
_cell_angle_beta 111.65
_cell_angle_gamma 90.00
loop_
_atom_site_label
_atom_site_type_symbol
_atom_site_fract_x
_atom_site_fract_y
_atom_site_fract_z
Ga1 Ga 0.2461 0.3943 0.8455
Ga2 Ga 0.4006 0.1057 0.1545
Ga3 Ga 0.7539 0.6057 0.1545
Ga4 Ga 0.5994 0.8943 0.8455
Ag1 Ag 0.3037 0.4594 0.2747
Ag2 Ag 0.0290 0.0406 0.7253
Ag3 Ag 0.1279 0.6810 0.5710
Ag4 Ag 0.5568 0.8190 0.4290
Ag5 Ag 0.8721 0.3190 0.4290
Ag6 Ag 0.4432 0.1810 0.5710
Ag7 Ag 0.9710 0.9594 0.2747
Ag8 Ag 0.6963 0.5406 0.7253
Ag9 Ag 0.8105 0.2500 0.0000
Ag10 Ag 0.1895 0.7500 0.0000
```

Values from the calculation:
- energy relative to the lowest polymorph listed for this composition (eV/atom) = 0.0000
- energy of formation from the pure elements (kcal/mol of atoms) = -0.18
- final energy (eV/f.u.) = -20.364